Record 1
Below is crystalline Ba3ReSb at its relaxed geometry, with properties calculated at the PBEsol level.

Cell and atoms, written as POSCAR:
```
Ba3ReSb
1.0
6.4640 0.0000 0.0000
0.0000 6.4640 0.0000
0.0000 0.0000 6.4640
Re Ba Sb
1 3 1
direct
0.5000 0.5000 0.5000
0.5000 0.0000 0.0000
0.0000 0.0000 0.5000
0.0000 0.5000 0.0000
0.0000 0.0000 0.0000
```

Results
Calculated total energy: -3.8279 eV per atom
Space group: No. 221

***

Record 2
Below is crystalline Ba2ScRe at its relaxed geometry, with properties calculated at the PBEsol level.

Cell and atoms, written as POSCAR:
```
Ba2ScRe
1.0
3.6469 0.0000 0.0344
0.0000 3.7611 0.0000
-0.8504 0.0000 9.2189
Sc Re Ba
1 1 2
direct
0.4633 0.5000 0.6700
0.9558 0.0000 0.5747
0.5568 0.5000 0.3289
0.0241 0.0000 0.9264
```

Results
Space group: No. 6
Offset from the most stable computed form: 0.0 meV per atom

***

Record 3
Below is crystalline BaSc2Re at its relaxed geometry, with properties calculated at the PBEsol level.

Cell and atoms, written as POSCAR:
```
BaSc2Re
1.0
-2.8149 -1.6289 -0.4103
1.6594 -3.4611 2.3558
-2.1272 5.6065 5.4305
Ba Sc Re
1 2 1
direct
0.5786 0.5786 0.1572
0.7607 0.2607 0.5214
0.8966 0.8966 0.7931
0.2642 0.7642 0.5283
```

Results
Space group: No. 44
Offset from the most stable computed form: 0.0 meV per atom

***

Repeat the second record exactly.
Below is crystalline Ba2ScRe at its relaxed geometry, with properties calculated at the PBEsol level.

Cell and atoms, written as POSCAR:
```
Ba2ScRe
1.0
3.6469 0.0000 0.0344
0.0000 3.7611 0.0000
-0.8504 0.0000 9.2189
Sc Re Ba
1 1 2
direct
0.4633 0.5000 0.6700
0.9558 0.0000 0.5747
0.5568 0.5000 0.3289
0.0241 0.0000 0.9264
```

Results
Space group: No. 6
Offset from the most stable computed form: 0.0 meV per atom